No. 1
## TaNbTe2C (PBE)

Data for an optimized crystal structure of TaNbTe2C.

Geometry as POSCAR:
```
TaNbTe2C
1.0
3.425 0.000 0.000
-1.712 2.966 0.000
0.000 0.000 10.332
Ta Nb Te C
1 1 2 1
Cartesian
0.000 0.000 0.000
0.000 1.977 2.240
0.000 0.000 4.280
0.000 1.977 8.293
1.712 0.989 1.075
```

Computed properties:
Its raw total energy is -7.98 eV per atom. The space group is No. 156.

No. 2
## LaPrBiO2 (PBE)

Data for an optimized crystal structure of LaPrBiO2.

Geometry as POSCAR:
```
LaPrBiO2
1.0
4.039 0.000 0.000
0.000 4.039 0.000
0.000 0.000 14.002
La Pr Bi O
2 2 2 4
Cartesian
0.000 0.000 0.000
2.020 2.020 7.001
0.000 0.000 4.578
2.020 2.020 11.579
0.000 0.000 9.324
2.020 2.020 2.323
0.000 2.020 5.794
0.000 2.020 12.795
2.020 0.000 5.794
2.020 0.000 12.795
```

Computed properties:
Its raw total energy is -7.36 eV per atom. The space group is No. 107.

No. 3
## CoCuSnIr (PBE)

Data for an optimized crystal structure of CoCuSnIr.

Geometry as POSCAR:
```
CoCuSnIr
1.0
6.118 0.000 0.000
0.000 6.118 0.000
0.000 0.000 6.118
Co Cu Sn Ir
4 4 4 4
Cartesian
0.000 0.000 0.000
0.000 3.059 3.059
3.059 0.000 3.059
3.059 3.059 0.000
1.529 1.529 1.529
1.529 4.588 4.588
4.588 1.529 4.588
4.588 4.588 1.529
1.529 1.529 4.588
1.529 4.588 1.529
4.588 1.529 1.529
4.588 4.588 4.588
0.000 0.000 3.059
0.000 3.059 0.000
3.059 0.000 0.000
3.059 3.059 3.059
```

Computed properties:
Its raw total energy is -5.89 eV per atom. The excess energy over the best structure of this formula in the dataset is 0.0 meV per atom. The space group is No. 216.

No. 4
## MgScNiSn (PBE)

Data for an optimized crystal structure of MgScNiSn.

Geometry as POSCAR:
```
MgScNiSn
1.0
6.554 0.000 0.000
0.000 6.554 0.000
0.000 0.000 6.554
Mg Sc Ni Sn
4 4 4 4
Cartesian
0.000 0.000 0.000
0.000 3.277 3.277
3.277 0.000 3.277
3.277 3.277 0.000
1.639 1.639 1.639
1.639 4.916 4.916
4.916 1.639 4.916
4.916 4.916 1.639
0.000 0.000 3.277
0.000 3.277 0.000
3.277 0.000 0.000
3.277 3.277 3.277
1.639 1.639 4.916
1.639 4.916 1.639
4.916 1.639 1.639
4.916 4.916 4.916
```

Computed properties:
Its raw total energy is -4.64 eV per atom. The excess energy over the best structure of this formula in the dataset is 43.5 meV per atom. The space group is No. 216.